No. 1
Mn2FeMo | Alexandria via LeMat-Bulk | PBE | optimized geometry; space group = P4/mmm, No. 123; calculated total energy = -0.3427 hartree per atom
1.0
-1.846 -0.183 2.471
2.315 -2.914 1.513
2.241 2.755 1.878
Fe Mn Mo
1 2 1
Cartesian
0.197 1.286 2.175 Fe
0.000 0.000 0.000 Mn
2.278 -0.080 1.696 Mn
0.234 -1.549 1.992 Mo


No. 2
MnFe2Mo | Alexandria via LeMat-Bulk | PBE | optimized geometry; space group = I-4m2, No. 119; calculated total energy = -0.3348 hartree per atom
1.0
4.479 -0.033 0.000
1.524 4.212 0.000
-3.001 -2.090 2.586
Fe Mn Mo
2 1 1
Cartesian
0.000 0.000 0.000 Fe
0.762 2.106 1.293 Fe
3.001 2.090 0.000 Mn
2.240 -0.017 1.293 Mo


No. 3
Mn8Fe4Mo | Alexandria via LeMat-Bulk | PBE | optimized geometry; space group = P-1, No. 2; calculated total energy = -0.3194 hartree per atom
1.0
-2.379 1.230 -4.195
0.682 -5.862 -1.967
-1.622 -2.967 7.734
Mn Fe Mo
8 4 1
Cartesian
-1.168 -4.504 -2.039 Mn
-2.150 -3.095 3.611 Mn
-2.131 -0.966 -0.500 Mn
-3.062 -2.551 1.406 Mn
-1.187 -6.633 2.072 Mn
-2.674 -5.453 0.326 Mn
-0.644 -2.146 1.246 Mn
-0.256 -5.048 0.166 Mn
0.000 0.000 0.000 Fe
0.341 -2.931 -0.983 Fe
-0.848 -2.316 -3.081 Fe
-1.189 0.615 -2.098 Fe
-0.470 -4.415 2.884 Mo


No. 4
MnFe2Mo | Alexandria via LeMat-Bulk | PBE | optimized geometry; space group = P4/mmm, No. 123; calculated total energy = -0.3355 hartree per atom
1.0
4.040 0.000 0.000
0.000 4.040 0.000
0.000 0.000 3.052
Fe Mn Mo
2 1 1
Cartesian
0.000 0.000 0.000 Fe
2.020 2.020 0.000 Fe
2.020 0.000 1.526 Mn
0.000 2.020 1.526 Mo


No. 5
Mn2FeMo | Alexandria via LeMat-Bulk | PBE | optimized geometry; space group = Pm, No. 6; calculated total energy = -0.3407 hartree per atom
1.0
-2.296 0.046 3.357
-1.220 -2.097 -0.806
2.754 -3.581 1.933
Fe Mn Mo
1 2 1
Cartesian
0.031 -4.292 2.543 Fe
-1.195 -2.079 -0.789 Mn
-0.827 -1.364 1.917 Mn
0.777 -2.832 0.570 Mo


No. 6
Mn3FeMo | Alexandria via LeMat-Bulk | PBE | optimized geometry; space group = Pm-3m, No. 221; calculated total energy = -0.3011 hartree per atom
1.0
4.216 0.000 0.000
0.000 4.216 0.000
0.000 0.000 4.216
Mo Mn Fe
1 3 1
Cartesian
2.108 2.108 2.108 Mo
0.000 2.108 0.000 Mn
0.000 0.000 2.108 Mn
2.108 0.000 0.000 Mn
0.000 0.000 0.000 Fe


| no. | formation enthalpy at 0 K (eV per atom) | density of states at the Fermi level (states/eV/cell) |
| --- | --- | --- |
| 1 | 0.084 | 3.66 |
| 2 | 0.122 | 3.92 |
| 3 | 0.389 | 14.14 |
| 4 | 0.102 | 2.61 |
| 5 | 0.138 | 4.82 |
| 6 | 1.168 | 7.16 |